Here is crystalline NdMgBi2 at its relaxed geometry from Alexandria. Energies are from PBE-GGA.

The structure in CIF format:
```
data_NdMgBi2
_chemical_formula_sum 'Nd1 Mg1 Bi2'
_cell_length_a 4.131
_cell_length_b 4.131
_cell_length_c 6.908
_cell_angle_alpha 90.00
_cell_angle_beta 90.00
_cell_angle_gamma 90.00
_symmetry_space_group_name_H-M 'P 1'
_symmetry_Int_Tables_number 1
_symmetry_space_group_name_Hall 'P 1'
loop_
_atom_site_label
_atom_site_type_symbol
_atom_site_fract_x
_atom_site_fract_y
_atom_site_fract_z
Nd1 Nd 0.000 0.000 0.000
Mg1 Mg 0.000 0.000 0.500
Bi1 Bi 0.500 0.500 0.255
Bi2 Bi 0.500 0.500 0.745
```

## Properties
Spin magnetization, μB/atom: 0.000
Symmetry: P4/mmm (123)
Theoretical density, g/cm3: 8.263
Raw total energy, eV per atom: -3.970
Energy relative to the elements, meV/atom: -439
Energy relative to the lowest polymorph listed for this composition, meV/atom: 100